Record 1
A plane-wave DFT calculation with PBE was carried out for a geometry-optimized Ce5IrSe5 structure.

Values from the calculation:
Its space group is C2/m (12). The value obtained for the total energy is -0.4900 Ry/atom. The calculation puts the density of states at the Fermi level at 30.2 states/eV/f.u.

Cell lengths 5.947, 7.342, 8.359 Å; angles 106.79, 90.00, 113.89 degrees
Positions (direct):
1 Ce 0.848 0.696 0.163
2 Ce 0.842 0.684 0.678
3 Ce 0.500 0.000 0.000
4 Ce 0.158 0.316 0.322
5 Ce 0.152 0.304 0.837
6 Ir 0.000 0.000 0.000
7 Se 0.680 0.360 0.332
8 Se 0.670 0.339 0.837
9 Se 0.000 0.000 0.500
10 Se 0.330 0.661 0.163
11 Se 0.320 0.640 0.668


Record 2
A plane-wave DFT calculation with PBE was carried out for a geometry-optimized Ce3IrSe2 structure.

Values from the calculation:
Its space group is Immm (71). The value obtained for the total energy is -0.5164 Ry/atom. The calculation puts the density of states at the Fermi level at 16.6 states/eV/f.u.

Cell lengths 4.053, 5.981, 7.365 Å; angles 113.96, 105.97, 90.00 degrees
Positions (direct):
1 Ce 0.850 0.350 0.199
2 Ce 0.150 0.650 0.801
3 Ce 0.500 0.000 0.500
4 Ir 0.500 0.500 0.500
5 Se 0.826 0.826 0.153
6 Se 0.174 0.174 0.847


Record 3
A plane-wave DFT calculation with PBE was carried out for a geometry-optimized Ce6IrSe5 structure.

Values from the calculation:
Its space group is C2/m (12). The value obtained for the total energy is -0.4982 Ry/atom. The calculation puts the density of states at the Fermi level at 34.8 states/eV/f.u.

Cell lengths 7.271, 7.271, 7.252 Å; angles 99.67, 99.67, 119.81 degrees
Positions (direct):
1 Ir 0.000 0.000 0.000
2 Se 0.827 0.173 0.500
3 Se 0.666 0.334 0.000
4 Se 0.500 0.500 0.500
5 Se 0.334 0.666 0.000
6 Se 0.173 0.827 0.500
7 Ce 0.400 0.080 0.240
8 Ce 0.920 0.600 0.760
9 Ce 0.239 0.239 0.754
10 Ce 0.761 0.761 0.246
11 Ce 0.080 0.400 0.240
12 Ce 0.600 0.920 0.760


Record 4
A plane-wave DFT calculation with PBE was carried out for a geometry-optimized CeIr4Se8 structure.

Values from the calculation:
Its space group is R-3m (166). The value obtained for the total energy is -0.4312 Ry/atom. The calculation puts the density of states at the Fermi level at 8.2 states/eV/f.u.

Cell lengths 7.673, 7.673, 7.333 Å; angles 58.45, 58.45, 60.00 degrees
Positions (direct):
1 Ce 0.500 0.500 0.500
2 Ir 0.000 0.500 0.000
3 Ir 0.500 0.500 0.000
4 Ir 0.500 0.000 0.000
5 Ir 0.000 0.000 0.000
6 Se 0.741 0.232 0.794
7 Se 0.768 0.259 0.206
8 Se 0.259 0.768 0.206
9 Se 0.768 0.768 0.206
10 Se 0.740 0.740 0.780
11 Se 0.260 0.260 0.220
12 Se 0.232 0.232 0.794
13 Se 0.232 0.741 0.794


Record 5
A plane-wave DFT calculation with PBE was carried out for a geometry-optimized Ce5IrSe4 structure.

Values from the calculation:
Its space group is I4/mmm (139). The value obtained for the total energy is -0.5011 Ry/atom. The calculation puts the density of states at the Fermi level at 29.0 states/eV/f.u.

Cell lengths 4.187, 4.187, 15.048 Å; angles 98.00, 98.00, 90.00 degrees
Positions (direct):
1 Ce 0.095 0.095 0.189
2 Ce 0.500 0.500 0.000
3 Ce 0.905 0.905 0.811
4 Ce 0.298 0.298 0.596
5 Ce 0.702 0.702 0.404
6 Ir 0.000 0.000 0.000
7 Se 0.399 0.399 0.798
8 Se 0.803 0.803 0.606
9 Se 0.197 0.197 0.394
10 Se 0.601 0.601 0.202


Record 6
A plane-wave DFT calculation with PBE was carried out for a geometry-optimized TbCeIrSe structure.

Values from the calculation:
Its space group is R3m (160). The value obtained for the total energy is -0.5100 Ry/atom. The calculation puts the density of states at the Fermi level at 5.2 states/eV/f.u.

Cell lengths 4.016, 4.016, 7.607 Å; angles 90.00, 105.30, 120.00 degrees
Positions (direct):
1 Tb 0.952 0.374 0.341
2 Ce 0.325 0.560 0.901
3 Ir 0.132 0.964 0.111
4 Se 0.469 0.132 0.616


Record 7
A plane-wave DFT calculation with PBE was carried out for a geometry-optimized Ce4Te2IrSe structure.

Values from the calculation:
Its space group is P2/m (10). The value obtained for the total energy is -0.4852 Ry/atom. The calculation puts the density of states at the Fermi level at 24.9 states/eV/f.u.

Cell lengths 4.217, 7.492, 7.667 Å; angles 108.26, 90.00, 90.00 degrees
Positions (direct):
1 Ce 0.500 0.252 0.221
2 Ce 0.500 0.748 0.779
3 Ce 0.000 0.276 0.788
4 Ce 0.000 0.724 0.212
5 Te 0.500 0.000 0.500
6 Te 0.000 0.500 0.500
7 Ir 0.500 0.500 0.000
8 Se 0.000 0.000 0.000


Record 8
A plane-wave DFT calculation with PBE was carried out for a geometry-optimized Ce4TeIrSe2 structure.

Values from the calculation:
Its space group is P2/m (10). The value obtained for the total energy is -0.4930 Ry/atom. The calculation puts the density of states at the Fermi level at 24.1 states/eV/f.u.

Cell lengths 4.171, 7.380, 7.524 Å; angles 71.37, 90.00, 90.00 degrees
Positions (direct):
1 Ce 0.000 0.755 0.728
2 Ce 0.000 0.245 0.272
3 Ce 0.500 0.735 0.278
4 Ce 0.500 0.265 0.722
5 Te 0.500 0.500 0.000
6 Ir 0.000 0.500 0.500
7 Se 0.000 0.000 0.000
8 Se 0.500 0.000 0.500


Number 1: uncorrected formation energy -1.580 eV/atom. Number 2: uncorrected formation energy -1.420 eV/atom. Number 3: uncorrected formation energy -1.621 eV/atom. Number 4: uncorrected formation energy -0.539 eV/atom. Number 5: uncorrected formation energy -1.571 eV/atom. Number 6: uncorrected formation energy -1.212 eV/atom. Number 7: uncorrected formation energy -1.306 eV/atom. Number 8: uncorrected formation energy -1.370 eV/atom.